# 1
The following is a meta-GGA SCAN calculation of LiPt3 at its PBEsol-relaxed geometry, from Alexandria via LeMat-Bulk.

E_form, eV per atom: -0.29

a = 2.705 Å, b = 2.705 Å, c = 9.190 Å
α = 81.54°, β = 81.54°, γ = 60.00°
Fractional positions:
Pt (0.500, 0.500, 0.500)
Pt (0.746, 0.746, 0.763)
Pt (0.254, 0.254, 0.237)
Li (0.000, 0.000, 0.000)

---

# 2
The following is a meta-GGA SCAN calculation of LiPt3 at its PBEsol-relaxed geometry, from Alexandria via LeMat-Bulk.

E_form, eV per atom: -0.50

a = 3.826 Å, b = 3.826 Å, c = 3.826 Å
α = 90.00°, β = 90.00°, γ = 90.00°
Fractional positions:
Pt (0.500, 0.500, 0.000)
Pt (0.500, 0.000, 0.500)
Pt (0.000, 0.500, 0.500)
Li (0.000, 0.000, 0.000)

---

# 3
The following is a meta-GGA SCAN calculation of Li2Pt at its PBEsol-relaxed geometry, from Alexandria via LeMat-Bulk.

Polymorph energy (0 for the lowest one), kJ/mol of formula units: 25
E_form, eV per atom: -0.55

a = 3.006 Å, b = 3.006 Å, c = 4.805 Å
α = 108.23°, β = 108.23°, γ = 90.00°
Fractional positions:
Pt (0.000, 0.000, 0.000)
Li (0.658, 0.658, 0.317)
Li (0.342, 0.342, 0.683)

---

# 4
The following is a meta-GGA SCAN calculation of Li5Pt at its PBEsol-relaxed geometry, from Alexandria via LeMat-Bulk.

Polymorph energy (0 for the lowest one), kJ/mol of formula units: 8
E_form, eV per atom: -0.33

a = 4.054 Å, b = 4.073 Å, c = 5.904 Å
α = 69.82°, β = 90.00°, γ = 90.00°
Fractional positions:
Pt (0.000, 0.500, 0.000)
Li (0.500, 0.353, 0.294)
Li (0.500, 0.647, 0.706)
Li (0.500, 0.000, 0.000)
Li (0.000, 0.847, 0.307)
Li (0.000, 0.153, 0.693)

---

# 5
The following is a meta-GGA SCAN calculation of LiPt at its PBEsol-relaxed geometry, from Alexandria via LeMat-Bulk.

E_form, eV per atom: -0.70

a = 2.709 Å, b = 2.709 Å, c = 4.519 Å
α = 72.56°, β = 72.56°, γ = 60.00°
Fractional positions:
Li (0.000, 0.000, 0.000)
Pt (0.500, 0.500, 0.500)

---

# 6
The following is a meta-GGA SCAN calculation of Li2Pt at its PBEsol-relaxed geometry, from Alexandria via LeMat-Bulk.

Polymorph energy (0 for the lowest one), kJ/mol of formula units: 4
E_form, eV per atom: -0.63

a = 2.674 Å, b = 4.297 Å, c = 7.120 Å
α = 90.00°, β = 100.82°, γ = 90.00°
Fractional positions:
Li (0.050, 0.750, 0.100)
Li (0.279, 0.250, 0.558)
Li (0.950, 0.250, 0.900)
Li (0.721, 0.750, 0.442)
Pt (0.383, 0.750, 0.766)
Pt (0.617, 0.250, 0.234)

---

# 7
The following is a meta-GGA SCAN calculation of Li5Pt at its PBEsol-relaxed geometry, from Alexandria via LeMat-Bulk.

Polymorph energy (0 for the lowest one), kJ/mol of formula units: 0
E_form, eV per atom: -0.34

a = 4.453 Å, b = 4.808 Å, c = 4.808 Å
α = 120.00°, β = 90.00°, γ = 90.00°
Fractional positions:
Li (0.500, 0.333, 0.667)
Li (0.500, 0.667, 0.333)
Li (0.000, 0.696, 0.000)
Li (0.000, 0.000, 0.696)
Li (0.000, 0.304, 0.304)
Pt (0.500, 0.000, 0.000)

---

# 8
The following is a meta-GGA SCAN calculation of Li5Pt at its PBEsol-relaxed geometry, from Alexandria via LeMat-Bulk.

Polymorph energy (0 for the lowest one), kJ/mol of formula units: 19
E_form, eV per atom: -0.31

a = 2.898 Å, b = 5.382 Å, c = 6.653 Å
α = 107.40°, β = 90.00°, γ = 105.62°
Fractional positions:
Li (0.687, 0.375, 0.327)
Li (0.020, 0.040, 0.002)
Li (0.378, 0.755, 0.222)
Li (0.053, 0.106, 0.621)
Li (0.320, 0.640, 0.721)
Pt (0.709, 0.418, 0.940)